Li2VRh3 | PBE | optimized geometry

Properties
DFT total energy = -6.156 eV per atom
total magnetic moment = 0.000 μB/atom

abc: 4.1943 12.4519 5.9055
angles: 90.00 90.00 90.00
Space group Cmmm (No. 65)
Symmetry-distinct sites (fractional):
Li: 0.0000 0.0000 0.0000 x2
Li: 0.0000 0.0000 0.5000 x2
Li: 0.0000 0.3324 0.0000 x4
V: 0.0000 0.3416 0.5000 x4
Rh: 0.0000 0.1693 0.2550 x8
Rh: 0.0000 0.5000 0.2477 x4